Material: CrRuF2
Method: DFT, PBE with a Hubbard U
State: optimized geometry

Calculated values
density of states at the Fermi level: 3.12 states/eV per cell
electronic total energy: -20.8 eV for the cell shown
SG: R-3m (166)

a = 9.630 Å, b = 9.630 Å, c = 9.630 Å
α = 16.09°, β = 16.09°, γ = 16.09°
Sites, in units of the cell vectors:
Cr: 0.000 0.000 0.000
Ru: 0.500 0.500 0.500
F: 0.061 0.061 0.061
F: 0.939 0.939 0.939